# PBE TlCuGeSe2, optimized geometry
# - symmetry = P2/c, No. 13
# - energy relative to the lowest polymorph listed for this composition (meV per atom) = 0
# - theoretical density (Mg/m³) = 6.7
# - M_tot (μB/f.u.) = 0.0
data_TlCuGeSe2
_space_group_name_H-M_alt 'P 1'
_space_group_IT_number 1
_cell_length_a 6.371
_cell_length_b 7.761
_cell_length_c 5.272
_cell_angle_alpha 108.69
_cell_angle_beta 90.00
_cell_angle_gamma 90.00
loop_
_space_group_symop_operation_xyz
'x,y,z'
loop_
_atom_site_label
_atom_site_fract_x
_atom_site_fract_y
_atom_site_fract_z
_atom_site_occupancy
Tl1 0.252 0.500 0.750 1
Tl2 0.748 0.500 0.250 1
Cu1 0.524 0.000 0.250 1
Cu2 0.476 0.000 0.750 1
Ge1 0.000 0.000 0.000 1
Ge2 0.000 0.000 0.500 1
Se1 0.693 0.764 0.878 1
Se2 0.693 0.236 0.622 1
Se3 0.307 0.764 0.378 1
Se4 0.307 0.236 0.122 1